# 1
OsN2F2: single point on PBEsol structure, meta-GGA SCAN.

a = 3.7446 Å, b = 3.7446 Å, c = 3.9508 Å
α = 90.00°, β = 90.00°, γ = 90.00°
Sites, in units of the cell vectors:
1 N 0.0000 0.5000 0.0000
2 N 0.5000 0.0000 0.0000
3 Os 0.0000 0.0000 0.0000
4 F 0.5000 0.5000 0.5000
5 F 0.0000 0.0000 0.5000

Results
Uncorrected energy, Ry per atom: -1.42399
Symmetry: P4/mmm, No. 123
E_form (uncorrected), eV/atom: 0.13

=====

# 2
ScOsNF2: single point on PBEsol structure, meta-GGA SCAN.

a = 3.8108 Å, b = 3.8108 Å, c = 4.5934 Å
α = 90.00°, β = 90.00°, γ = 90.00°
Sites, in units of the cell vectors:
1 Sc 0.0000 0.0000 0.0000
2 N 0.0000 0.0000 0.5000
3 Os 0.5000 0.5000 0.5000
4 F 0.0000 0.5000 0.0000
5 F 0.5000 0.0000 0.0000

Results
Uncorrected energy, Ry per atom: -1.56258
Symmetry: P4/mmm, No. 123
E_form (uncorrected), eV/atom: -0.76

=====

# 3
SiOsN2F: single point on PBEsol structure, meta-GGA SCAN.

a = 3.8300 Å, b = 3.8300 Å, c = 3.8893 Å
α = 90.00°, β = 90.00°, γ = 90.00°
Sites, in units of the cell vectors:
1 Si 0.5000 0.5000 0.5000
2 N 0.0000 0.5000 0.0000
3 N 0.5000 0.0000 0.0000
4 Os 0.0000 0.0000 0.5000
5 F 0.0000 0.0000 0.0000

Results
Uncorrected energy, Ry per atom: -1.33790
Symmetry: P4/mmm, No. 123
E_form (uncorrected), eV/atom: 2.60

=====

Calculated DOS at the Fermi energy (states/eV/f.u.), listed in the same order as above: 1.5, 3.1, 3.4
Calculated theoretical density (g/cm³), listed in the same order as above: 7.68, 7.15, 7.72